No. 1
Computed, not measured: crystalline KVCd3 at its relaxed geometry at the PBE-GGA level of DFT.

Geometry as CIF:
```
data_KVCd3
_chemical_formula_sum 'K1 V1 Cd3'
_symmetry_space_group_name_H-M 'P m -3 m'
_symmetry_Int_Tables_number 221
_symmetry_space_group_name_Hall '-P 4 2 3'
_cell_length_a 5.459
_cell_length_b 5.459
_cell_length_c 5.459
_cell_angle_alpha 90.00
_cell_angle_beta 90.00
_cell_angle_gamma 90.00
loop_
_atom_site_label
_atom_site_fract_x
_atom_site_fract_y
_atom_site_fract_z
K1 0.000 0.000 0.000
V1 0.500 0.500 0.500
Cd1 0.000 0.500 0.500
```

---

No. 2
Computed, not measured: crystalline K3VCd at its relaxed geometry at the PBE-GGA level of DFT.

Geometry as CIF:
```
data_K3VCd
_chemical_formula_sum 'K3 V1 Cd1'
_symmetry_space_group_name_H-M 'P m -3 m'
_symmetry_Int_Tables_number 221
_symmetry_space_group_name_Hall '-P 4 2 3'
_cell_length_a 6.598
_cell_length_b 6.598
_cell_length_c 6.598
_cell_angle_alpha 90.00
_cell_angle_beta 90.00
_cell_angle_gamma 90.00
loop_
_atom_site_label
_atom_site_fract_x
_atom_site_fract_y
_atom_site_fract_z
K1 0.000 0.000 0.500
V1 0.000 0.000 0.000
Cd1 0.500 0.500 0.500
```

---

Listing polymorph energy (0 for the lowest one) for the structures above in their given order: 0.0, 0.0 meV per atom.
Listing formation enthalpy at 0 K for the structures above in their given order: 383, 870 meV/atom.